VASP calculation (PBE-GGA) on a relaxed Li6AcTl2 crystal.

Calculated values
The calculation puts the formation energy at -0.80 eV/f.u. The space-group type is C2/m, No. 12. As for the energy: -2.347 eV/atom. Its density of states at the Fermi level is 0.62 states/eV per atom. The density comes out at 5.4 Mg/m³.

Cell lengths 4.941, 7.749, 7.749 Å; angles 48.72, 71.17, 71.17 degrees
Element x y z (fractional)
Li (0.298, 0.942, 0.464)
Li (0.702, 0.058, 0.536)
Li (0.702, 0.536, 0.058)
Li (0.500, 0.318, 0.682)
Li (0.500, 0.682, 0.318)
Li (0.298, 0.464, 0.942)
Ac (0.000, 0.000, 0.000)
Tl (0.120, 0.379, 0.379)
Tl (0.880, 0.621, 0.621)